# 1
This record from Alexandria describes crystalline Li2PmGaPd at its relaxed geometry. The functional is PBE-GGA.

```
data_Li2PmGaPd
_chemical_formula_sum 'Li4 Pm2 Ga2 Pd2'
_cell_length_a 3.731
_cell_length_b 4.458
_cell_length_c 11.536
_cell_angle_alpha 90.00
_cell_angle_beta 90.00
_cell_angle_gamma 90.00
_space_group_name_H-M_alt 'I m m 2'
_space_group_IT_number 44
_space_group_name_Hall 'I 2 -2'
loop_
_atom_site_label
_atom_site_type_symbol
_atom_site_fract_x
_atom_site_fract_y
_atom_site_fract_z
_atom_site_occupancy
Li1 Li 0.000 0.000 0.000 1
Li2 Li 0.000 0.500 0.349 1
Pm1 Pm 0.000 0.500 0.730 1
Ga1 Ga 0.000 0.000 0.473 1
Pd1 Pd 0.000 0.500 0.129 1
```

- DFT formation energy (eV/atom) = -0.4045
- theoretical density (g/cm3) = 5.8


# 2
This record from Alexandria describes crystalline Fe2PSCl at its relaxed geometry. The functional is PBE-GGA.

```
data_Fe2PSCl
_chemical_formula_sum 'Fe2 P1 S1 Cl1'
_cell_length_a 4.182
_cell_length_b 4.182
_cell_length_c 5.199
_cell_angle_alpha 90.00
_cell_angle_beta 90.00
_cell_angle_gamma 90.00
_space_group_name_H-M_alt 'P 4/m m m'
_space_group_IT_number 123
_space_group_name_Hall '-P 4 2'
loop_
_atom_site_label
_atom_site_type_symbol
_atom_site_fract_x
_atom_site_fract_y
_atom_site_fract_z
_atom_site_occupancy
Fe1 Fe 0.000 0.500 0.000 1
P1 P 0.000 0.000 0.500 1
S1 S 0.500 0.500 0.500 1
Cl1 Cl 0.000 0.000 0.000 1
```

- theoretical density (g/cm3) = 3.8
- raw formation energy (eV per atom) = 1.169


# 3
This record from Alexandria describes crystalline AcNi2Ir at its relaxed geometry. The functional is PBE-GGA.

```
data_AcNi2Ir
_chemical_formula_sum 'Ac3 Ni6 Ir3'
_cell_length_a 4.2630
_cell_length_b 4.2630
_cell_length_c 14.9798
_cell_angle_alpha 90.00
_cell_angle_beta 90.00
_cell_angle_gamma 120.00
_space_group_name_H-M_alt 'R -3 m'
_space_group_IT_number 166
_space_group_name_Hall '-R 3 2"'
loop_
_atom_site_label
_atom_site_type_symbol
_atom_site_fract_x
_atom_site_fract_y
_atom_site_fract_z
_atom_site_occupancy
Ac1 Ac 0.0000 0.0000 0.0000 1
Ni1 Ni 0.0000 0.0000 0.1901 1
Ir1 Ir 0.0000 0.0000 0.5000 1
```

- energy relative to the lowest polymorph listed for this composition (meV/atom) = 0
- DFT formation energy (eV/atom) = -0.3639
- theoretical density (g/cm3) = 11.3


# 4
This record from Alexandria describes crystalline Al2CdCo2 at its relaxed geometry. The functional is PBE-GGA.

```
data_Al2CdCo2
_chemical_formula_sum 'Al4 Cd2 Co4'
_cell_length_a 3.741
_cell_length_b 3.741
_cell_length_c 10.773
_cell_angle_alpha 90.00
_cell_angle_beta 90.00
_cell_angle_gamma 90.00
_space_group_name_H-M_alt 'I 4/m m m'
_space_group_IT_number 139
_space_group_name_Hall '-I 4 2'
loop_
_atom_site_label
_atom_site_type_symbol
_atom_site_fract_x
_atom_site_fract_y
_atom_site_fract_z
_atom_site_occupancy
Al1 Al 0.000 0.500 0.250 1
Cd1 Cd 0.000 0.000 0.000 1
Co1 Co 0.000 0.000 0.393 1
```

- energy relative to the lowest polymorph listed for this composition (meV/atom) = 216
- DFT formation energy (eV/atom) = -0.0096
- theoretical density (g/cm3) = 6.3


# 5
This record from Alexandria describes crystalline La3HgRuCl at its relaxed geometry. The functional is PBE-GGA.

```
data_La3HgRuCl
_chemical_formula_sum 'La6 Hg2 Ru2 Cl2'
_cell_length_a 8.779
_cell_length_b 4.386
_cell_length_c 9.647
_cell_angle_alpha 90.00
_cell_angle_beta 97.95
_cell_angle_gamma 90.00
_space_group_name_H-M_alt 'P 1 21/m 1'
_space_group_IT_number 11
_space_group_name_Hall '-P 2yb'
loop_
_atom_site_label
_atom_site_type_symbol
_atom_site_fract_x
_atom_site_fract_y
_atom_site_fract_z
_atom_site_occupancy
La1 La 0.063 0.250 0.344 1
La2 La 0.218 0.250 0.928 1
La3 La 0.359 0.750 0.606 1
Hg1 Hg 0.295 0.750 0.236 1
Ru1 Ru 0.153 0.250 0.650 1
Cl1 Cl 0.431 0.750 0.898 1
```

- theoretical density (g/cm3) = 6.8
- raw formation energy (eV per atom) = -0.722


# 6
This record from Alexandria describes crystalline La3Dy4Mg at its relaxed geometry. The functional is PBE-GGA.

```
data_La3Dy4Mg
_chemical_formula_sum 'La6 Dy8 Mg2'
_cell_length_a 3.567
_cell_length_b 11.802
_cell_length_c 12.762
_cell_angle_alpha 90.00
_cell_angle_beta 90.00
_cell_angle_gamma 90.00
_space_group_name_H-M_alt 'I m m m'
_space_group_IT_number 71
_space_group_name_Hall '-I 2 2'
loop_
_atom_site_label
_atom_site_type_symbol
_atom_site_fract_x
_atom_site_fract_y
_atom_site_fract_z
_atom_site_occupancy
La1 La 0.000 0.000 0.000 1
La2 La 0.000 0.500 0.236 1
Dy1 Dy 0.000 0.245 0.366 1
Mg1 Mg 0.000 0.000 0.500 1
```

- DFT formation energy (eV/atom) = 0.0907
- theoretical density (g/cm3) = 6.7